(1)
Material: AcDyTlAg
Method: DFT, GGA-PBE
State: optimized geometry

abc: 5.525 5.525 5.525
angles: 60.00 60.00 60.00
Element x y z (fractional)
Ac 0.000 0.000 0.000
Dy 0.500 0.500 0.500
Tl 0.750 0.750 0.750
Ag 0.250 0.250 0.250

Values from the calculation:
ΔE to the lowest computed polymorph = 0.13 eV per formula unit

(2)
Material: Mg2Zn5Cu2Ag
Method: DFT, GGA-PBE
State: optimized geometry

abc: 8.817 8.817 4.090
angles: 90.00 90.00 90.00
Element x y z (fractional)
Mg 0.181 0.319 0.000
Mg 0.319 0.819 0.000
Mg 0.681 0.181 0.000
Mg 0.819 0.681 0.000
Zn 0.000 0.500 0.500
Zn 0.071 0.793 0.500
Zn 0.207 0.071 0.500
Zn 0.293 0.571 0.500
Zn 0.429 0.293 0.500
Zn 0.500 0.000 0.500
Zn 0.571 0.707 0.500
Zn 0.707 0.429 0.500
Zn 0.793 0.929 0.500
Zn 0.929 0.207 0.500
Cu 0.111 0.611 0.000
Cu 0.389 0.111 0.000
Cu 0.611 0.889 0.000
Cu 0.889 0.389 0.000
Ag 0.000 0.000 0.000
Ag 0.500 0.500 0.000

Formation energy readings, ordered: -26, -8 kJ per mole of atoms